The following is a DFT calculation (PBE) of Mn2GaCu3 after structural relaxation.

The space group is P6_3/mmc (No. 194) and the conventional cell measures 4.9032, 4.9032 and 7.8561 Å, with angles of 90.00, 90.00 and 120.00 degrees. Symmetry generates all atoms from Mn at (0.3333, 0.6667, 0.0599), Ga at (0.0000, 0.0000, 0.0000) and Cu at (0.1714, 0.3428, 0.7500).

For the volume, the calculation gives 13.63 Å³/atom. As for the calculated formation energy: 65 meV/atom. The final energy is -5.54 eV per atom.